Nd2Zn4AgAu3: optimized geometry, PBE.

abc: 4.223 4.223 11.568
angles: 90.00 90.00 90.00
Element x y z (fractional)
Au  0.000  0.000  0.500
Au  0.500  0.000  0.860
Au  0.000  0.500  0.140
Nd  0.500  0.000  0.246
Nd  0.000  0.500  0.754
Zn  0.500  0.000  0.637
Zn  0.000  0.000  0.000
Zn  0.500  0.500  0.000
Zn  0.000  0.500  0.363
Ag  0.500  0.500  0.500

Output
The value obtained for the calculated formation energy is -45 kJ/mol of atoms. Its crystal system is tetragonal.

YAgBr: optimized geometry, PBE.

abc: 4.509 4.509 31.420
angles: 90.00 90.00 120.00
Site moments in Bohr magnetons follow the coordinates.
Element x y z (fractional)
Br  0.667  0.333  0.783  0.01
Br  0.000  0.000  0.450  0.01
Br  0.333  0.667  0.117  0.01
Br  0.667  0.333  0.005  0.01
Br  0.333  0.667  0.339  0.01
Br  0.000  0.000  0.672  0.01
Y  0.667  0.333  0.169  0.13
Y  0.000  0.000  0.953  0.13
Y  0.333  0.667  0.503  0.13
Y  0.000  0.000  0.836  0.13
Y  0.667  0.333  0.286  0.13
Y  0.333  0.667  0.619  0.13
Ag  0.667  0.333  0.894  0.03
Ag  0.667  0.333  0.561  0.02
Ag  0.333  0.667  0.894  0.02
Ag  0.333  0.667  0.228  0.03
Ag  0.000  0.000  0.561  0.03
Ag  0.000  0.000  0.228  0.02

Output
The value obtained for the energy relative to the lowest polymorph listed for this composition is 0.04 eV per formula unit. Its crystal system is trigonal.

Sequential electronic total energy output: -3.20; -4.50 eV per atom